(1)
# CdAs2Br (PBE, relaxed)
data_CdAs2Br
_chemical_formula_sum 'Cd2 As4 Br2'
_cell_length_a 5.004
_cell_length_b 5.004
_cell_length_c 7.053
_cell_angle_alpha 90.00
_cell_angle_beta 90.00
_cell_angle_gamma 90.00
_space_group_name_H-M_alt 'I -4 m 2'
_space_group_IT_number 119
_space_group_name_Hall 'I -4 -2'
loop_
_atom_site_label
_atom_site_fract_x
_atom_site_fract_y
_atom_site_fract_z
Cd1 0.000 0.000 0.000
As1 0.000 0.000 0.500
As2 0.000 0.500 0.750
Br1 0.000 0.500 0.250
# - ΔE to the lowest computed polymorph (kJ per mole of atoms) = 47.8
# - spin magnetization (Bohr magnetons per cell) = 0.00
# - formation energy without anion corrections (eV/atom) = 0.32
# - crystal system = tetragonal



(2)
# CdAs2Br (PBE, relaxed)
data_CdAs2Br
_chemical_formula_sum 'Cd1 As2 Br1'
_cell_length_a 2.761
_cell_length_b 5.140
_cell_length_c 7.533
_cell_angle_alpha 90.00
_cell_angle_beta 90.00
_cell_angle_gamma 90.00
_space_group_name_H-M_alt 'P m m m'
_space_group_IT_number 47
_space_group_name_Hall '-P 2 2'
loop_
_atom_site_label
_atom_site_fract_x
_atom_site_fract_y
_atom_site_fract_z
Cd1 0.000 0.000 0.000
As1 0.500 0.500 0.165
Br1 0.000 0.000 0.500
# - ΔE to the lowest computed polymorph (kJ per mole of atoms) = 31.7
# - spin magnetization (Bohr magnetons per cell) = 0.00
# - formation energy without anion corrections (eV/atom) = 0.15
# - crystal system = orthorhombic



(3)
# CdAsBr (PBE, relaxed)
data_CdAsBr
_chemical_formula_sum 'Cd2 As2 Br2'
_cell_length_a 3.914
_cell_length_b 4.663
_cell_length_c 11.175
_cell_angle_alpha 101.82
_cell_angle_beta 90.05
_cell_angle_gamma 90.01
_space_group_name_H-M_alt 'P 1'
_space_group_IT_number 1
_space_group_name_Hall 'P 1'
loop_
_atom_site_label
_atom_site_fract_x
_atom_site_fract_y
_atom_site_fract_z
Cd1 0.000 0.000 0.000
Cd2 0.499 0.810 0.607
As1 0.499 0.370 0.731
As2 0.999 0.440 0.876
Br1 0.500 0.086 0.164
Br2 0.998 0.726 0.443
# - ΔE to the lowest computed polymorph (kJ per mole of atoms) = 0.0
# - spin magnetization (Bohr magnetons per cell) = 0.00
# - formation energy without anion corrections (eV/atom) = -0.44
# - crystal system = triclinic



(4)
# CdAs2Br (PBE, relaxed)
data_CdAs2Br
_chemical_formula_sum 'Cd4 As8 Br4'
_cell_length_a 7.075
_cell_length_b 7.075
_cell_length_c 7.075
_cell_angle_alpha 90.00
_cell_angle_beta 90.00
_cell_angle_gamma 90.00
_space_group_name_H-M_alt 'F m -3 m'
_space_group_IT_number 225
_space_group_name_Hall '-F 4 2 3'
loop_
_atom_site_label
_atom_site_fract_x
_atom_site_fract_y
_atom_site_fract_z
Cd1 0.000 0.000 0.000
As1 0.250 0.250 0.250
Br1 0.000 0.000 0.500
# - ΔE to the lowest computed polymorph (kJ per mole of atoms) = 63.5
# - spin magnetization (Bohr magnetons per cell) = 0.00
# - formation energy without anion corrections (eV/atom) = 0.48
# - crystal system = cubic



formation energy without anion corrections of number 1 (CdAs2Br)?
0.32 eV/atom